No. 1
Below is a relaxed structure of KSr3Ir, with properties calculated at the PBE level.

Output
density of states at the Fermi level	4.9	states/eV per cell
distance to the lowest polymorph of the same formula	2	meV/atom
space group	No. 2
calculated formation energy	-99	meV/atom
magnetic moment	0.0	μB/f.u.

Lattice parameters (Å, degrees): 4.287 10.027 13.050 97.25 119.56 64.70
Fractional positions:
Ir1 0.281 0.398 0.109
Ir2 0.979 0.922 0.925
K1 0.919 0.450 0.569
K2 0.343 0.871 0.465
Sr1 0.655 0.679 0.880
Sr2 0.085 0.053 0.749
Sr3 0.639 0.011 0.090
Sr4 0.605 0.641 0.154
Sr5 0.176 0.267 0.285
Sr6 0.622 0.310 0.944

No. 2
Below is a relaxed structure of Tb2ErSc5, with properties calculated at the PBE level.

Output
density of states at the Fermi level	15.5	states/eV per cell
distance to the lowest polymorph of the same formula	0	meV/atom
space group	No. 107
calculated formation energy	58	meV/atom
magnetic moment	0.0	μB/f.u.

Lattice parameters (Å, degrees): 6.707 6.707 6.707 91.19 119.32 119.32
Fractional positions:
Tb1 0.500 0.778 0.278
Tb2 0.500 0.278 0.778
Sc1 0.000 0.277 0.277
Sc2 0.000 0.777 0.278
Sc3 0.501 0.278 0.278
Sc4 0.499 0.777 0.777
Sc5 0.000 0.278 0.777
Er1 0.000 0.778 0.778

No. 3
Below is a relaxed structure of MgOs2Se, with properties calculated at the PBE level.

Output
density of states at the Fermi level	5.2	states/eV per cell
distance to the lowest polymorph of the same formula	401	meV/atom
space group	No. 166
uncorrected formation energy	0.54	eV/atom
magnetic moment	0.0	μB/f.u.

Lattice parameters (Å, degrees): 8.678 8.678 8.678 19.41 19.41 19.41
Fractional positions:
Os1 0.506 0.506 0.506
Os2 0.994 0.994 0.994
Se1 0.250 0.250 0.250
Mg1 0.750 0.750 0.750

No. 4
Below is a relaxed structure of CrTc2HRh, with properties calculated at the PBE level.

Output
density of states at the Fermi level	4.7	states/eV per cell
distance to the lowest polymorph of the same formula	0	meV/atom
space group	No. 123
magnetic moment	0.6	μB/f.u.

Lattice parameters (Å, degrees): 3.872 3.872 3.841 90.00 90.00 90.00
Last column: magnetic moment on the atom in μB.
Fractional positions:
Tc1 0.000 0.500 0.000  -0.36
Tc2 0.500 0.000 0.000  -0.36
Rh1 0.500 0.500 0.500  -0.13
H1 0.000 0.000 0.000  0.00
Cr1 0.000 0.000 0.500  1.41

No. 5
Below is a relaxed structure of CoSb3P, with properties calculated at the PBE level.

Output
density of states at the Fermi level	6.8	states/eV per cell
distance to the lowest polymorph of the same formula	617	meV/atom
space group	No. 221
uncorrected formation energy	1.15	eV/atom
magnetic moment	0.0	μB/f.u.

Lattice parameters (Å, degrees): 5.058 5.058 5.058 90.00 90.00 90.00
Fractional positions:
Sb1 0.000 0.500 0.000
Sb2 0.500 0.000 0.000
Sb3 0.000 0.000 0.500
Co1 0.500 0.500 0.500
P1 0.000 0.000 0.000

No. 6
Below is a relaxed structure of RbCd3, with properties calculated at the PBE level.

Output
density of states at the Fermi level	2.5	states/eV per cell
space group	No. 221
calculated formation energy	96	meV/atom
magnetic moment	0.0	μB/f.u.

Lattice parameters (Å, degrees): 5.120 5.120 5.120 90.00 90.00 90.00
Fractional positions:
Rb1 0.000 0.000 0.000
Cd1 0.500 0.000 0.500
Cd2 0.500 0.500 0.000
Cd3 0.000 0.500 0.500

No. 7
Below is a relaxed structure of Pm2Sm5Er4, with properties calculated at the PBE level.

Output
density of states at the Fermi level	15.4	states/eV per cell
distance to the lowest polymorph of the same formula	0	meV/atom
space group	No. 12
calculated formation energy	140	meV/atom
magnetic moment	0.0	μB/f.u.

Lattice parameters (Å, degrees): 6.662 6.662 9.312 75.54 75.54 66.71
Fractional positions:
Sm1 0.000 0.000 0.500
Sm2 0.785 0.348 0.234
Sm3 0.215 0.652 0.766
Sm4 0.348 0.785 0.234
Sm5 0.652 0.215 0.766
Pm1 0.145 0.145 0.877
Pm2 0.855 0.855 0.123
Er1 0.335 0.335 0.118
Er2 0.665 0.665 0.882
Er3 0.694 0.694 0.503
Er4 0.306 0.306 0.497

No. 8
Below is a relaxed structure of Pm2SmBi, with properties calculated at the PBE level.

Output
density of states at the Fermi level	4.5	states/eV per cell
distance to the lowest polymorph of the same formula	447	meV/atom
space group	No. 166
calculated formation energy	7	meV/atom
magnetic moment	0.0	μB/f.u.

Lattice parameters (Å, degrees): 3.596 3.596 12.534 81.75 81.75 60.00
Fractional positions:
Bi1 0.000 0.000 0.000
Pm1 0.087 0.087 0.739
Pm2 0.913 0.913 0.261
Sm1 0.500 0.500 0.500

No. 9
Below is a relaxed structure of CsTePb2Cl, with properties calculated at the PBE level.

Output
density of states at the Fermi level	2.5	states/eV per cell
space group	No. 123
uncorrected formation energy	-0.08	eV/atom
magnetic moment	0.0	μB/f.u.

Lattice parameters (Å, degrees): 5.605 6.853 5.605 90.00 90.00 90.00
Fractional positions:
Pb1 0.500 0.000 0.000
Pb2 0.000 0.000 0.500
Cs1 0.500 0.500 0.500
Cl1 0.000 0.000 0.000
Te1 0.000 0.500 0.000

No. 10
Below is a relaxed structure of MgGe3Pb, with properties calculated at the PBE level.

Output
density of states at the Fermi level	5.1	states/eV per cell
distance to the lowest polymorph of the same formula	0	meV/atom
space group	No. 221
calculated formation energy	564	meV/atom
magnetic moment	0.0	μB/f.u.

Lattice parameters (Å, degrees): 5.065 5.065 5.065 90.00 90.00 90.00
Fractional positions:
Ge1 0.000 0.500 0.000
Ge2 0.500 0.000 0.000
Ge3 0.000 0.000 0.500
Mg1 0.000 0.000 0.000
Pb1 0.500 0.500 0.500

No. 11
Below is a relaxed structure of Rb2HoUSe4, with properties calculated at the PBE level.

Output
density of states at the Fermi level	7.6	states/eV per cell
space group	No. 10
uncorrected formation energy	-1.45	eV/atom
magnetic moment	3.0	μB/f.u.

Lattice parameters (Å, degrees): 4.245 7.360 8.388 106.97 90.00 90.00
Last column: magnetic moment on the atom in μB.
Fractional positions:
Rb1 0.500 0.000 0.500  0.00
Rb2 0.000 0.500 0.500  0.00
Ho1 0.500 0.500 0.000  0.09
U1 0.000 0.000 0.000  2.68
Se1 0.000 0.271 0.804  -0.02
Se2 0.500 0.236 0.197  -0.04
Se3 0.000 0.729 0.196  -0.02
Se4 0.500 0.764 0.803  -0.04

No. 12
Below is a relaxed structure of NbGaSe3, with properties calculated at the PBE level.

Output
density of states at the Fermi level	2.7	states/eV per cell
distance to the lowest polymorph of the same formula	422	meV/atom
space group	No. 221
uncorrected formation energy	-0.28	eV/atom
magnetic moment	0.0	μB/f.u.

Lattice parameters (Å, degrees): 5.090 5.090 5.090 90.00 90.00 90.00
Fractional positions:
Se1 0.500 0.000 0.000
Se2 0.000 0.500 0.000
Se3 0.000 0.000 0.500
Ga1 0.500 0.500 0.500
Nb1 0.000 0.000 0.000

Number 1: volume 438.6 Å³/cell. Number 2: volume 215.5 Å³/cell. Number 3: volume 63.1 Å³/cell. Number 4: volume 57.6 Å³/cell. Number 5: volume 129.4 Å³/cell. Number 6: volume 134.2 Å³/cell. Number 7: volume 362.3 Å³/cell. Number 8: volume 138.4 Å³/cell. Number 9: volume 215.3 Å³/cell. Number 10: volume 129.9 Å³/cell. Number 11: volume 250.7 Å³/cell. Number 12: volume 131.9 Å³/cell.